# 1
An optimized crystal structure of TcAs3, computed with PBE.

Lattice parameters (Å, degrees): 7.2709 7.2709 4.0841 90.00 90.00 115.57
Closest atoms and distances in Å follow each position.
Atoms (fractional coordinates):
As  0.8064  0.6259  0.2500  1 As 2.44, 3 Tc 2.58-2.65
Tc  0.5697  0.4303  0.7500  8 As 2.58-2.87, 2 Tc 2.67
As  0.2658  0.7342  0.7500  2 As 2.44
As  0.6259  0.8064  0.7500  1 As 2.44, 3 Tc 2.58-2.65
As  0.3741  0.1936  0.2500  1 As 2.44, 3 Tc 2.58-2.65
As  0.7342  0.2658  0.2500  2 As 2.44
Tc  0.4303  0.5697  0.2500  8 As 2.58-2.87, 2 Tc 2.67
As  0.1936  0.3741  0.7500  1 As 2.44, 3 Tc 2.58-2.65

Summary:
relative energy among the computed polymorphs: 0.087 eV per atom
N(E_F): 0.5660 states/eV per atom

# 2
An optimized crystal structure of TcAs, computed with PBE.

Lattice parameters (Å, degrees): 5.4791 5.4791 5.9648 82.46 82.46 32.41
Closest atoms and distances in Å follow each position.
Atoms (fractional coordinates):
Tc  0.7099  0.7099  0.0911  5 As 2.60-2.83, 4 Tc 2.78-2.86
Tc  0.0558  0.0558  0.4094  4 As 2.54-2.61, 3 Tc 2.78-2.81
As  0.3651  0.3651  0.7605  2 Tc 2.51
Tc  0.0019  0.0019  0.9605  6 As 2.51-2.62, 1 Tc 2.81
As  0.6508  0.6508  0.6820  5 Tc 2.54-2.62, 2 As 2.82
As  0.3832  0.3832  0.2634  6 Tc 2.56-2.69

Summary:
relative energy among the computed polymorphs: 0.236 eV per atom
N(E_F): 0.5944 states/eV per atom

# 3
An optimized crystal structure of TcAs, computed with PBE.

Lattice parameters (Å, degrees): 3.0163 5.8614 11.3292 90.00 90.00 90.00
Closest atoms and distances in Å follow each position.
Atoms (fractional coordinates):
As  0.5000  0.3013  0.2190  4 Tc 2.48-2.54
Tc  0.5000  0.9977  0.3730  4 As 2.49-2.54, 2 Tc 2.70
Tc  0.0000  0.0023  0.8730  4 As 2.49-2.54, 2 Tc 2.70
Tc  0.5000  0.9977  0.6270  4 As 2.49-2.54, 2 Tc 2.70
As  0.0000  0.6987  0.2810  4 Tc 2.48-2.54
Tc  0.5000  0.2961  0.0000  4 As 2.48-2.58, 4 Tc 2.70
As  0.0000  0.6987  0.7190  4 Tc 2.48-2.54
As  0.5000  0.3476  0.5000  4 Tc 2.51-2.58
Tc  0.0000  0.7039  0.5000  4 As 2.48-2.58, 4 Tc 2.70
As  0.0000  0.6524  0.0000  4 Tc 2.51-2.58
Tc  0.0000  0.0023  0.1270  4 As 2.49-2.54, 2 Tc 2.70
As  0.5000  0.3013  0.7810  4 Tc 2.48-2.54

Summary:
relative energy among the computed polymorphs: 0.056 eV per atom
N(E_F): 0.3697 states/eV per atom

# 4
An optimized crystal structure of TcAs, computed with PBE.

Lattice parameters (Å, degrees): 3.9550 8.8260 5.8250 90.00 90.00 90.00
Closest atoms and distances in Å follow each position.
Atoms (fractional coordinates):
Tc  0.5000  0.5000  0.9139  4 As 2.44-2.47
As  0.0000  0.0000  0.1600  6 Tc 2.47-2.75
Tc  0.0000  0.2332  0.4728  6 As 2.54-2.75
Tc  0.5000  0.0000  0.4139  4 As 2.44-2.47
Tc  0.0000  0.7332  0.9728  6 As 2.54-2.75
As  0.5000  0.6716  0.2413  5 Tc 2.44-2.58
As  0.5000  0.3284  0.2413  5 Tc 2.44-2.58
As  0.0000  0.5000  0.6600  6 Tc 2.47-2.75
As  0.5000  0.1716  0.7413  5 Tc 2.44-2.58
Tc  0.0000  0.2668  0.9728  6 As 2.54-2.75
As  0.5000  0.8284  0.7413  5 Tc 2.44-2.58
Tc  0.0000  0.7668  0.4728  6 As 2.54-2.75

Summary:
relative energy among the computed polymorphs: 0.216 eV per atom
N(E_F): 0.9468 states/eV per atom

no.,magnetic moment (μB/cell),VASP energy (eV/atom)
1,0.0,-6.06
2,0.0,-7.47
3,0.0,-7.66
4,0.0,-7.49